No. 1
Here is an optimized crystal structure of BaScCd2 from Alexandria via LeMat-Bulk. Energies are from PBEsol.

Lattice parameters (Å, degrees): 7.4717 7.4717 7.4717 90.00 90.00 90.00
Space group F-43m (No. 216)
Asymmetric unit:
Ba1 0.0000 0.0000 0.0000 (multiplicity 4)
Sc1 0.2500 0.2500 0.7500 (multiplicity 4)
Cd1 0.0000 0.0000 0.5000 (multiplicity 4)
Cd2 0.2500 0.2500 0.2500 (multiplicity 4)

Excess energy over the best structure of this formula in the dataset (eV per atom): 0.318
Raw total energy (eV per atom): -2.73
Crystal system: cubic
Calculated density (kg/m3): 6483
Calculated formation energy (meV/atom): 62

***

No. 2
Here is an optimized crystal structure of BaSc2Cd from Alexandria via LeMat-Bulk. Energies are from PBEsol.

Lattice parameters (Å, degrees): 3.4603 3.4603 32.5647 90.00 90.00 120.00
Space group R3m (No. 160, hexagonal axes)
Asymmetric unit:
Ba1 0.0000 0.0000 0.0000 (multiplicity 3)
Sc1 0.0000 0.0000 0.5070 (multiplicity 3)
Sc2 0.0000 0.0000 0.7646 (multiplicity 3)
Cd1 0.0000 0.0000 0.2446 (multiplicity 3)

Raw total energy (eV per atom): -3.99
Crystal system: trigonal
Calculated density (kg/m3): 5011
Calculated formation energy (meV/atom): 151

***

No. 3
Here is an optimized crystal structure of BaScCd from Alexandria via LeMat-Bulk. Energies are from PBEsol.

Lattice parameters (Å, degrees): 5.2395 5.2395 3.9556 90.00 90.00 120.00
Space group P-6m2 (No. 187)
Asymmetric unit:
Ba1 0.0000 0.0000 0.0000 (multiplicity 1)
Sc1 0.6667 0.3333 0.5000 (multiplicity 1)
Cd1 0.3333 0.6667 0.5000 (multiplicity 1)

Excess energy over the best structure of this formula in the dataset (eV per atom): 0.000
Raw total energy (eV per atom): -3.23
Crystal system: hexagonal
Calculated density (kg/m3): 5204
Calculated formation energy (meV/atom): 88

***

No. 4
Here is an optimized crystal structure of Ba2CdSe from Alexandria via LeMat-Bulk. Energies are from PBEsol.

Lattice parameters (Å, degrees): 7.9629 8.0738 4.0738 90.00 90.00 90.00
Space group Cmmm (No. 65)
Asymmetric unit:
Ba1 0.2500 0.2500 0.0000 (multiplicity 4)
Cd1 0.0000 0.0000 0.5000 (multiplicity 2)
Se1 0.0000 0.5000 0.5000 (multiplicity 2)

Excess energy over the best structure of this formula in the dataset (eV per atom): 0.000
Raw total energy (eV per atom): -3.28
Crystal system: orthorhombic
Calculated density (kg/m3): 5909
Formation energy without anion corrections (meV/atom): -940